Record 1
Entry from Alexandria: an optimized crystal structure of NaBiH2 (PBE).

Results
- Distance to the lowest polymorph of the same formula: 0.3694 eV/atom
- Volume: 151.84 Å³/cell

Cell lengths 7.4526, 7.4526, 7.4526 Å; angles 142.58, 142.58, 53.96 degrees
With the nearest neighbours (Å) after each atom.
Positions (direct):
Na1 0.0000 0.0000 0.0000  4 H 2.61
Na2 0.7500 0.2500 0.5000  4 H 2.61
Bi1 0.2500 0.7500 0.5000  4 H 2.18
Bi2 0.5000 0.5000 0.0000  4 H 2.18
H1 0.2148 0.6250 0.0898  2 Bi 2.18
H2 0.3750 0.4648 0.5898  2 Bi 2.18
H3 0.5352 0.1250 0.9102  2 Bi 2.18
H4 0.8750 0.7852 0.4102  2 Bi 2.18



Record 2
Entry from Alexandria: an optimized crystal structure of SrCuHg (PBE).

Results
- Formation enthalpy at 0 K: -0.27 eV/atom
- Volume: 79.79 Å³/cell

Cell lengths 4.6600, 4.6600, 4.2426 Å; angles 90.00, 90.00, 120.00 degrees
With the nearest neighbours (Å) after each atom.
Positions (direct):
Sr1 0.0000 0.0000 0.0000  6 Hg 3.43, 6 Cu 3.43
Cu1 0.6667 0.3333 0.5000  3 Hg 2.69
Hg1 0.3333 0.6667 0.5000  3 Cu 2.69



Calculated final energy, -2.698, -2.296 eV/atom (same order as the records).
Calculated mass density, 5.1, 7.3 g/cm3 (same order as the records).